No. 1
VASP calculation (meta-GGA SCAN) on TcMo2Se at its PBEsol-relaxed geometry.

Properties
E_tot = -1.132 hartree per atom
Formation energy (no corrections) = 0.4220 eV/atom

a = 3.123 Å, b = 4.587 Å, c = 8.651 Å
α = 90.00°, β = 90.00°, γ = 90.00°
Space group Cmm2 (No. 35)
Symmetry-distinct sites (fractional):
Tc 0.000 0.000 0.000 x2
Mo 0.000 0.000 0.516 x2
Mo 0.000 0.500 0.764 x2
Se 0.000 0.500 0.263 x2


No. 2
VASP calculation (meta-GGA SCAN) on TcMo2Se at its PBEsol-relaxed geometry.

Properties
E_tot = -1.136 hartree per atom
Formation energy (no corrections) = 0.3253 eV/atom

a = 4.468 Å, b = 4.468 Å, c = 2.979 Å
α = 90.00°, β = 90.00°, γ = 90.00°
Space group P4/mmm (No. 123)
Symmetry-distinct sites (fractional):
Tc 0.000 0.000 0.000 x1
Mo 0.000 0.500 0.500 x2
Se 0.500 0.500 0.000 x1


Table of calculated density (g/cm3), in record order: 9.88 10.30
Table of magnetic moment (μB per formula unit), in record order: 0.0 0.0